# CaAsSe | Alexandria | PBE | relaxed
# Total energy ... -12.02 eV for the cell shown
# N(E_F) ... 0.407 states/eV per atom
data_CaAsSe
_cell_length_a 4.7154
_cell_length_b 4.7154
_cell_length_c 3.7456
_cell_angle_alpha 90.00
_cell_angle_beta 90.00
_cell_angle_gamma 120.00
_symmetry_space_group_name_H-M 'P -6 m 2'
_symmetry_Int_Tables_number 187
_symmetry_space_group_name_Hall 'P -6 2'
loop_
_atom_site_label
_atom_site_fract_x
_atom_site_fract_y
_atom_site_fract_z
Ca1 0.0000 0.0000 0.0000
As1 0.6667 0.3333 0.5000
Se1 0.3333 0.6667 0.5000

---

# CePuZn2 | Alexandria | PBE | relaxed
# Formation energy ... -0.1292 eV/atom
# Total energy ... -23.33 eV for the cell shown
# N(E_F) ... 2.344 states/eV per atom
# Energy above the most stable polymorph in this dataset ... 0.037 eV/atom
data_CePuZn2
_cell_length_a 4.377
_cell_length_b 4.377
_cell_length_c 4.511
_cell_angle_alpha 90.00
_cell_angle_beta 90.00
_cell_angle_gamma 90.00
_symmetry_space_group_name_H-M 'P 4/m m m'
_symmetry_Int_Tables_number 123
_symmetry_space_group_name_Hall '-P 4 2'
loop_
_atom_site_label
_atom_site_fract_x
_atom_site_fract_y
_atom_site_fract_z
Ce1 0.000 0.000 0.000
Pu1 0.500 0.500 0.000
Zn1 0.000 0.500 0.500